No. 1
# Rb3NaMg2Br8

A geometry-optimized Rb3NaMg2Br8 structure (GGA-PBE, the Alexandria database).

Its formation energy without anion corrections is -1588.9 meV/atom.

The space group is P-3m1 (No. 164) and the conventional cell measures 7.9159, 7.9159 and 9.8349 Å, with angles of 90.00, 90.00 and 120.00 degrees. The inequivalent atoms are Rb at (0.0000, 0.0000, 0.0000), Rb at (0.3333, 0.6667, 0.6182), Na at (0.0000, 0.0000, 0.5000), Mg at (0.3333, 0.6667, 0.2069), Br at (0.1664, 0.3327, 0.3124) and Br at (0.3333, 0.6667, 0.9573).

---

No. 2
# Rb2TlSnI5

A geometry-optimized Rb2TlSnI5 structure (GGA-PBE, the Alexandria database).

Its formation energy without anion corrections is -958.4 meV/atom.

The space group is Cmc2_1 (No. 36) and the conventional cell measures 4.874, 21.297 and 17.060 Å, with angles of 90.00, 90.00 and 90.00 degrees. The inequivalent atoms are Rb at (0.000, 0.081, 0.000), Rb at (0.000, 0.133, 0.652), Tl at (0.000, 0.452, 0.802), Sn at (0.000, 0.233, 0.387), I at (0.000, 0.089, 0.431), I at (0.000, 0.253, 0.017), I at (0.000, 0.289, 0.764), I at (0.000, 0.381, 0.339) and I at (0.000, 0.496, 0.116).

---

No. 3
# Tb7Dy3Er2

A geometry-optimized Tb7Dy3Er2 structure (GGA-PBE, the Alexandria database).

The formation energy is 0.111 eV per atom. As for the energy relative to the lowest polymorph listed for this composition: 0.00 kcal/mol of atoms.

The space group is Cmmm (No. 65) and the conventional cell measures 5.673, 37.574 and 3.573 Å, with angles of 90.00, 90.00 and 90.00 degrees. The inequivalent atoms are Tb at (0.000, 0.000, 0.000), Tb at (0.000, 0.072, 0.500), Tb at (0.000, 0.231, 0.000), Tb at (0.000, 0.408, 0.000), Dy at (0.000, 0.315, 0.500), Dy at (0.000, 0.500, 0.500) and Er at (0.000, 0.148, 0.000).

---

| no. | volume (Å³ per cell) |
| --- | --- |
| 1 | 534 |
| 2 | 1771 |
| 3 | 762 |